Entry 1:
A plane-wave DFT calculation with PBE-GGA was carried out for a relaxed Ni2AgRu crystal.

Cell: 6.0153 6.0153 6.0153 Å, 90.00 90.00 90.00°
Space group Fm-3m (No. 225)
Unique sites:
Ni (0.2500, 0.2500, 0.2500) (multiplicity 8)
Ag (0.0000, 0.0000, 0.0000) (multiplicity 4)
Ru (0.0000, 0.0000, 0.5000) (multiplicity 4)

Values from the calculation:
* ΔH_f (0 K): 1.563 eV/f.u.
* offset from the most stable computed form: 0.191 eV/atom

---

Entry 2:
A plane-wave DFT calculation with PBE-GGA was carried out for a relaxed YNiAgRu2 crystal.

Cell: 4.8207 4.8207 5.1731 Å, 90.00 90.00 90.00°
Space group P4/mmm (No. 123)
Unique sites:
Y (0.0000, 0.0000, 0.0000) (multiplicity 1)
Ni (0.5000, 0.5000, 0.0000) (multiplicity 1)
Ag (0.0000, 0.0000, 0.5000) (multiplicity 1)
Ru (0.0000, 0.5000, 0.5000) (multiplicity 2)

Values from the calculation:
* ΔH_f (0 K): 8.827 eV/f.u.

---

Entry 3:
A plane-wave DFT calculation with PBE-GGA was carried out for a relaxed Ni2AgS crystal.

Cell: 4.4897 4.4897 13.9474 Å, 90.00 90.00 90.00°
Space group I-42d (No. 122)
Unique sites:
Ni (0.0760, 0.2500, 0.1250) (multiplicity 8)
Ag (0.0000, 0.0000, 0.5000) (multiplicity 4)
S (0.0000, 0.0000, 0.0000) (multiplicity 4)

Values from the calculation:
* total energy: -72.054 eV per cell

---

Entry 4:
A plane-wave DFT calculation with PBE-GGA was carried out for a relaxed NiAg2S2 crystal.

Cell: 6.1096 6.1096 4.7590 Å, 90.00 90.00 90.00°
Space group P4/mbm (No. 127)
Unique sites:
Ni (0.0000, 0.0000, 0.0000) (multiplicity 2)
Ag (0.2475, 0.2525, 0.5000) (multiplicity 4)
S (0.1691, 0.3309, 0.0000) (multiplicity 4)

Values from the calculation:
* total energy: -39.022 eV per cell

---

Entry 5:
A plane-wave DFT calculation with PBE-GGA was carried out for a relaxed NiAgS4 crystal.

Cell: 4.2864 4.9598 6.5750 Å, 76.83 81.71 77.14°
Space group P-1 (No. 2)
Unique sites:
Ni (0.0000, 0.0000, 0.0000) (multiplicity 1)
Ag (0.5000, 0.5000, 0.0000) (multiplicity 1)
S (0.2582, 0.0907, 0.2397) (multiplicity 2)
S (0.3334, 0.2163, 0.7599) (multiplicity 2)

Values from the calculation:
* total energy: -25.423 eV per cell

---

Entry 6:
A plane-wave DFT calculation with PBE-GGA was carried out for a relaxed Ni2Ag2S crystal.

Cell: 5.7524 5.7524 4.5289 Å, 90.00 90.00 90.00°
Space group P4/mbm (No. 127)
Unique sites:
Ni (0.1597, 0.3403, 0.0000) (multiplicity 4)
Ag (0.1666, 0.6666, 0.5000) (multiplicity 4)
S (0.0000, 0.0000, 0.0000) (multiplicity 2)

Values from the calculation:
* total energy: -42.311 eV per cell

---

Entry 7:
A plane-wave DFT calculation with PBE-GGA was carried out for a relaxed Ni2AgS crystal.

Cell: 2.8699 2.8699 24.7692 Å, 90.00 90.00 120.00°
Space group R-3m (No. 166, hexagonal axes)
Unique sites:
Ni (0.0000, 0.0000, 0.1055) (multiplicity 6)
Ag (0.0000, 0.0000, 0.0000) (multiplicity 3)
S (0.0000, 0.0000, 0.5000) (multiplicity 3)

Values from the calculation:
* total energy: -52.919 eV per cell

---

Entry 8:
A plane-wave DFT calculation with PBE-GGA was carried out for a relaxed Ni6AgS8 crystal.

Cell: 9.0835 9.0835 10.2554 Å, 90.00 90.00 120.00°
Space group R-3 (No. 148, hexagonal axes)
Unique sites:
Ni (0.0222, 0.8278, 0.3818) (multiplicity 18)
Ag (0.0000, 0.0000, 0.0000) (multiplicity 3)
S (0.0000, 0.0000, 0.2388) (multiplicity 6)
S (0.0349, 0.6271, 0.2510) (multiplicity 18)

Values from the calculation:
* total energy: -223.522 eV per cell

---

Entry 9:
A plane-wave DFT calculation with PBE-GGA was carried out for a relaxed NiAgS3 crystal.

Cell: 4.7682 4.7682 4.7682 Å, 90.00 90.00 90.00°
Space group Pm-3m (No. 221)
Unique sites:
Ni (0.0000, 0.0000, 0.0000) (multiplicity 1)
Ag (0.5000, 0.5000, 0.5000) (multiplicity 1)
S (0.0000, 0.5000, 0.5000) (multiplicity 3)

Values from the calculation:
* total energy: -14.952 eV per cell

---

Entry 10:
A plane-wave DFT calculation with PBE-GGA was carried out for a relaxed NiAg2Sn2S6 crystal.

Cell: 6.3913 10.8993 6.9214 Å, 90.00 111.24 90.00°
Space group C2/m (No. 12)
Unique sites:
Ni (0.0000, 0.0000, 0.0000) (multiplicity 2)
Ag (0.0000, 0.1774, 0.5000) (multiplicity 4)
Sn (0.0000, 0.3317, 0.0000) (multiplicity 4)
S (0.2118, 0.0000, 0.7867) (multiplicity 4)
S (0.2464, 0.1594, 0.2252) (multiplicity 8)

Values from the calculation:
* total energy: -93.727 eV per cell

---

Entry 11:
A plane-wave DFT calculation with PBE-GGA was carried out for a relaxed NiAgSnS4 crystal.

Cell: 7.2362 7.5224 10.3289 Å, 90.00 90.00 90.00°
Space group Imma (No. 74)
Unique sites:
Ni (0.2500, 0.2500, 0.2500) (multiplicity 4)
Ag (0.0000, 0.2500, 0.6486) (multiplicity 4)
Sn (0.0000, 0.0000, 0.0000) (multiplicity 4)
S (0.0000, 0.0449, 0.2466) (multiplicity 8)
S (0.2458, 0.2500, 0.0234) (multiplicity 8)

Values from the calculation:
* total energy: -123.817 eV per cell

---

Entry 12:
A plane-wave DFT calculation with PBE-GGA was carried out for a relaxed TcNiAg2S crystal.

Cell: 4.7739 4.7739 4.0601 Å, 90.00 90.00 90.00°
Space group P4/mmm (No. 123)
Unique sites:
Tc (0.0000, 0.0000, 0.0000) (multiplicity 1)
Ni (0.5000, 0.5000, 0.0000) (multiplicity 1)
Ag (0.0000, 0.5000, 0.5000) (multiplicity 2)
S (0.5000, 0.5000, 0.5000) (multiplicity 1)

Values from the calculation:
* total energy: -21.590 eV per cell

---

Entry 13:
A plane-wave DFT calculation with PBE-GGA was carried out for a relaxed NiAg2Te2S6 crystal.

Cell: 6.5357 11.2391 6.8308 Å, 90.00 110.77 90.00°
Space group C2/m (No. 12)
Unique sites:
Ni (0.0000, 0.0000, 0.0000) (multiplicity 2)
Ag (0.0000, 0.1760, 0.5000) (multiplicity 4)
Te (0.0000, 0.3333, 0.0000) (multiplicity 4)
S (0.2031, 0.0000, 0.7754) (multiplicity 4)
S (0.2351, 0.1589, 0.2287) (multiplicity 8)

Values from the calculation:
* total energy: -84.362 eV per cell

---

Entry 14:
A plane-wave DFT calculation with PBE-GGA was carried out for a relaxed NiAgTe2S4 crystal.

Cell: 7.2816 7.2816 6.6300 Å, 90.00 90.00 90.00°
Space group I-42m (No. 121)
Unique sites:
Ni (0.0000, 0.0000, 0.0000) (multiplicity 2)
Ag (0.0000, 0.0000, 0.5000) (multiplicity 2)
Te (0.0000, 0.5000, 0.2500) (multiplicity 4)
S (0.1673, 0.1673, 0.2148) (multiplicity 8)

Values from the calculation:
* total energy: -61.594 eV per cell

---

Entry 15:
A plane-wave DFT calculation with PBE-GGA was carried out for a relaxed TiNi2AgS crystal.

Cell: 4.3201 4.3201 5.1530 Å, 90.00 90.00 90.00°
Space group P4/mmm (No. 123)
Unique sites:
Ti (0.0000, 0.0000, 0.0000) (multiplicity 1)
Ni (0.0000, 0.5000, 0.0000) (multiplicity 2)
Ag (0.0000, 0.0000, 0.5000) (multiplicity 1)
S (0.5000, 0.5000, 0.5000) (multiplicity 1)

Values from the calculation:
* total energy: -20.501 eV per cell

---

Entry 16:
A plane-wave DFT calculation with PBE-GGA was carried out for a relaxed TlNiAgS2 crystal.

Cell: 5.6547 11.3504 7.1940 Å, 90.00 90.00 90.00°
Space group Cmme (No. 67)
Unique sites:
Tl (0.0000, 0.2500, 0.2035) (multiplicity 4)
Ni (0.2500, 0.0000, 0.0000) (multiplicity 4)
Ag (0.0000, 0.0000, 0.5000) (multiplicity 4)
S (0.0000, 0.0881, 0.8073) (multiplicity 8)

Values from the calculation:
* total energy: -80.634 eV per cell

---

Entry 17:
A plane-wave DFT calculation with PBE-GGA was carried out for a relaxed TlNi2AgS crystal.

Cell: 4.1516 4.1516 5.9241 Å, 90.00 90.00 90.00°
Space group P4/mmm (No. 123)
Unique sites:
Tl (0.0000, 0.0000, 0.0000) (multiplicity 1)
Ni (0.0000, 0.5000, 0.5000) (multiplicity 2)
Ag (0.5000, 0.5000, 0.0000) (multiplicity 1)
S (0.0000, 0.0000, 0.5000) (multiplicity 1)

Values from the calculation:
* total energy: -19.605 eV per cell

---

Entry 18:
A plane-wave DFT calculation with PBE-GGA was carried out for a relaxed UNi2Ag2S6 crystal.

Cell: 6.0963 10.3440 6.6517 Å, 90.00 103.51 90.00°
Space group C2/m (No. 12)
Unique sites:
U (0.0000, 0.0000, 0.0000) (multiplicity 2)
Ni (0.0000, 0.3320, 0.0000) (multiplicity 4)
Ag (0.0000, 0.1407, 0.5000) (multiplicity 4)
S (0.1834, 0.5000, 0.2080) (multiplicity 4)
S (0.2262, 0.1832, 0.2185) (multiplicity 8)

Values from the calculation:
* total energy: -118.272 eV per cell

---

Entry 19:
A plane-wave DFT calculation with PBE-GGA was carried out for a relaxed U3NiAg3S8 crystal.

Cell: 13.3206 7.7558 7.7202 Å, 90.00 125.00 90.00°
Space group C2/m (No. 12)
Unique sites:
U (0.0000, 0.0000, 0.0000) (multiplicity 2)
U (0.2500, 0.2500, 0.5000) (multiplicity 4)
Ni (0.0000, 0.5000, 0.0000) (multiplicity 2)
Ag (0.0000, 0.5000, 0.5000) (multiplicity 2)
Ag (0.2500, 0.2500, 0.0000) (multiplicity 4)
S (0.0032, 0.2630, 0.2324) (multiplicity 8)
S (0.2310, 0.5000, 0.2384) (multiplicity 4)
S (0.2485, 0.0000, 0.2529) (multiplicity 4)

Values from the calculation:
* total energy: -184.567 eV per cell

---

Entry 20:
A plane-wave DFT calculation with PBE-GGA was carried out for a relaxed UNi2Ag3S6 crystal.

Cell: 6.1435 10.4877 6.7685 Å, 90.00 104.79 90.00°
Space group C2/m (No. 12)
Unique sites:
U (0.0000, 0.0000, 0.0000) (multiplicity 2)
Ni (0.0000, 0.3313, 0.0000) (multiplicity 4)
Ag (0.0000, 0.1416, 0.5000) (multiplicity 4)
Ag (0.0000, 0.5000, 0.5000) (multiplicity 2)
S (0.1899, 0.5000, 0.2056) (multiplicity 4)
S (0.2348, 0.1824, 0.2162) (multiplicity 8)

Values from the calculation:
* total energy: -122.972 eV per cell

---

Entry 21:
A plane-wave DFT calculation with PBE-GGA was carried out for a relaxed Zr2NiAgS crystal.

Cell: 4.7892 4.7892 4.6878 Å, 90.00 90.00 90.00°
Space group P4/mmm (No. 123)
Unique sites:
Zr (0.0000, 0.5000, 0.0000) (multiplicity 2)
Ni (0.0000, 0.0000, 0.0000) (multiplicity 1)
Ag (0.0000, 0.0000, 0.5000) (multiplicity 1)
S (0.5000, 0.5000, 0.5000) (multiplicity 1)

Values from the calculation:
* total energy: -28.762 eV per cell

---

Entry 22:
A plane-wave DFT calculation with PBE-GGA was carried out for a relaxed NiAgSb2 crystal.

Cell: 6.7623 3.9200 6.8382 Å, 90.00 108.81 90.00°
Space group C2/m (No. 12)
Unique sites:
Ni (0.0000, 0.0000, 0.0000) (multiplicity 2)
Ag (0.0000, 0.5000, 0.5000) (multiplicity 2)
Sb (0.2300, 0.5000, 0.1962) (multiplicity 4)

Values from the calculation:
* offset from the most stable computed form: 0.000 eV/atom

---

Entry 23:
A plane-wave DFT calculation with PBE-GGA was carried out for a relaxed NiAg2Sb crystal.

Cell: 5.4779 10.2015 3.2199 Å, 90.00 125.32 90.00°
Space group C2/m (No. 12)
Unique sites:
Ni (0.0000, 0.0000, 0.0000) (multiplicity 2)
Ag (0.2500, 0.2500, 0.5000) (multiplicity 4)
Sb (0.0000, 0.5000, 0.0000) (multiplicity 2)

Values from the calculation:
* total energy: -29.648 eV per cell

---

Entry 24:
A plane-wave DFT calculation with PBE-GGA was carried out for a relaxed Ni2Ag2Sb crystal.

Cell: 6.3640 6.3640 4.0957 Å, 90.00 90.00 90.00°
Space group P4/mbm (No. 127)
Unique sites:
Ni (0.1340, 0.3660, 0.0000) (multiplicity 4)
Ag (0.1613, 0.6613, 0.5000) (multiplicity 4)
Sb (0.0000, 0.0000, 0.0000) (multiplicity 2)

Values from the calculation:
* offset from the most stable computed form: 0.000 eV/atom